Entry 1:
This record from Alexandria via LeMat-Bulk describes a crystal of Mg2SbPt2 relaxed with PBEsol. The functional is SCAN.

Cell and atoms, written as CIF:
```
data_Mg2SbPt2
_cell_length_a 3.874
_cell_length_b 3.874
_cell_length_c 12.549
_cell_angle_alpha 90.00
_cell_angle_beta 90.00
_cell_angle_gamma 90.00
_space_group_name_H-M_alt 'I 4/m m m'
_space_group_IT_number 139
_space_group_name_Hall '-I 4 2'
loop_
_atom_site_label
_atom_site_fract_x
_atom_site_fract_y
_atom_site_fract_z
Mg1 0.000 0.500 0.250
Sb1 0.000 0.000 0.000
Pt1 0.000 0.000 0.394
```

The calculation puts the total magnetic moment at 0.00 μB/f.u. The raw formation energy is -0.433 eV/atom.

Entry 2:
This record from Alexandria via LeMat-Bulk describes a crystal of Mg2SbPt relaxed with PBEsol. The functional is SCAN.

Cell and atoms, written as CIF:
```
data_Mg2SbPt
_cell_length_a 3.2151
_cell_length_b 3.2151
_cell_length_c 26.6217
_cell_angle_alpha 90.00
_cell_angle_beta 90.00
_cell_angle_gamma 120.00
_space_group_name_H-M_alt 'R -3 m'
_space_group_IT_number 166
_space_group_name_Hall '-R 3 2"'
loop_
_atom_site_label
_atom_site_fract_x
_atom_site_fract_y
_atom_site_fract_z
Mg1 0.0000 0.0000 0.2382
Sb1 0.0000 0.0000 0.0000
Pt1 0.0000 0.0000 0.5000
```

The calculation puts the total magnetic moment at 0.00 μB/f.u. The raw formation energy is -0.359 eV/atom.

Entry 3:
This record from Alexandria via LeMat-Bulk describes a crystal of Mg2ScPt relaxed with PBEsol. The functional is SCAN.

Cell and atoms, written as CIF:
```
data_Mg2ScPt
_cell_length_a 3.326
_cell_length_b 3.326
_cell_length_c 7.051
_cell_angle_alpha 90.00
_cell_angle_beta 90.00
_cell_angle_gamma 90.00
_space_group_name_H-M_alt 'P 4 m m'
_space_group_IT_number 99
loop_
_space_group_symop_operation_xyz
'x,y,z'
'-y,x,z'
'-x,-y,z'
'y,-x,z'
'-x,y,z'
'y,x,z'
'x,-y,z'
'-y,-x,z'
loop_
_atom_site_label
_atom_site_fract_x
_atom_site_fract_y
_atom_site_fract_z
Mg1 0.000 0.000 0.000
Mg2 0.500 0.500 0.279
Sc1 0.000 0.000 0.581
Pt1 0.500 0.500 0.776
```

The calculation puts the total magnetic moment at 0.09 μB/f.u. As for the energy relative to the elements: -0.717 eV per atom.

Entry 4:
This record from Alexandria via LeMat-Bulk describes a crystal of Mg2ScPt relaxed with PBEsol. The functional is SCAN.

Cell and atoms, written as CIF:
```
data_Mg2ScPt
_cell_length_a 6.590
_cell_length_b 6.590
_cell_length_c 6.590
_cell_angle_alpha 90.00
_cell_angle_beta 90.00
_cell_angle_gamma 90.00
_space_group_name_H-M_alt 'F -4 3 m'
_space_group_IT_number 216
_space_group_name_Hall 'F -4 2 3'
loop_
_atom_site_label
_atom_site_fract_x
_atom_site_fract_y
_atom_site_fract_z
Mg1 0.000 0.000 0.000
Mg2 0.250 0.250 0.250
Sc1 0.250 0.250 0.750
Pt1 0.000 0.000 0.500
```

The calculation puts the total magnetic moment at 0.00 μB/f.u. As for the energy relative to the elements: -0.758 eV per atom.

What did the second record say?
This record from Alexandria via LeMat-Bulk describes a crystal of Mg2SbPt relaxed with PBEsol. The functional is SCAN.

Cell and atoms, written as CIF:
```
data_Mg2SbPt
_cell_length_a 3.2151
_cell_length_b 3.2151
_cell_length_c 26.6217
_cell_angle_alpha 90.00
_cell_angle_beta 90.00
_cell_angle_gamma 120.00
_space_group_name_H-M_alt 'R -3 m'
_space_group_IT_number 166
_space_group_name_Hall '-R 3 2"'
loop_
_atom_site_label
_atom_site_fract_x
_atom_site_fract_y
_atom_site_fract_z
Mg1 0.0000 0.0000 0.2382
Sb1 0.0000 0.0000 0.0000
Pt1 0.0000 0.0000 0.5000
```

The calculation puts the total magnetic moment at 0.00 μB/f.u. The raw formation energy is -0.359 eV/atom.